Entry from the Alexandria database: an optimized crystal structure of Na2Li2TcO6 (PBE).

Total magnetic moment, μB/cell: 1.07
N(E_F), states/eV per atom: 0.8340
Raw total energy, eV per cell: -62.508

Unit cell a=5.136 b=5.136 c=5.439 alpha=90.00 beta=90.00 gamma=120.00
Element x y z (fractional)
O  0.696  0.000  0.199
O  0.000  0.304  0.801
O  0.304  0.304  0.199
Na  0.333  0.667  0.500
O  0.000  0.696  0.199
Na  0.667  0.333  0.500
Li  0.667  0.333  0.000
Li  0.333  0.667  0.000
O  0.696  0.696  0.801
Tc  0.000  0.000  0.000
O  0.304  0.000  0.801

***

Entry from the Alexandria database: an optimized crystal structure of Na2Li2TcO4 (PBE).

Total magnetic moment, μB/cell: 3.01
N(E_F), states/eV per atom: 0.0694
Raw total energy, eV per cell: -51.145

Unit cell a=3.182 b=7.763 c=6.342 alpha=133.86 beta=104.53 gamma=90.00
Element x y z (fractional)
Li  0.344  0.066  0.688
Li  0.656  0.934  0.312
O  0.785  0.871  0.569
Na  0.825  0.437  0.651
O  0.562  0.233  0.123
Tc  0.000  0.000  0.000
O  0.438  0.767  0.877
Na  0.175  0.563  0.349
O  0.215  0.129  0.431

***

Entry from the Alexandria database: an optimized crystal structure of NaLiTc2O8 (PBE).

Total magnetic moment, μB/cell: 0.00
N(E_F), states/eV per atom: 0.0000
Raw total energy, eV per cell: -82.961

Unit cell a=5.809 b=5.809 c=6.485 alpha=90.00 beta=90.00 gamma=120.00
Element x y z (fractional)
O  0.667  0.333  0.554
O  0.832  0.168  0.204
O  0.337  0.168  0.204
Tc  0.333  0.667  0.712
Li  0.000  0.000  0.000
Na  0.000  0.000  0.500
O  0.333  0.667  0.446
O  0.168  0.337  0.796
O  0.663  0.832  0.796
O  0.832  0.663  0.204
Tc  0.667  0.333  0.288
O  0.168  0.832  0.796

***

Entry from the Alexandria database: an optimized crystal structure of Na3Li2TcO6 (PBE).

Total magnetic moment, μB/cell: 0.00
Raw total energy, eV per cell: -67.598

Unit cell a=5.318 b=5.318 c=5.591 alpha=99.14 beta=99.14 gamma=119.97
Element x y z (fractional)
O  0.931  0.633  0.795
O  0.633  0.931  0.795
Na  0.500  0.500  0.500
O  0.367  0.069  0.205
Li  0.333  0.667  0.000
Tc  0.000  0.000  0.000
O  0.069  0.367  0.205
Na  0.823  0.177  0.500
O  0.227  0.227  0.795
Na  0.177  0.823  0.500
O  0.773  0.773  0.205
Li  0.667  0.333  0.000

***

Entry from the Alexandria database: an optimized crystal structure of Na2LiTcO4 (PBE).

Total magnetic moment, μB/cell: 0.00
N(E_F), states/eV per atom: 0.2754
Raw total energy, eV per cell: -47.350

Unit cell a=5.259 b=5.259 c=5.259 alpha=95.20 beta=117.05 gamma=117.05
Element x y z (fractional)
Tc  0.500  0.250  0.750
Na  0.000  0.000  0.000
Na  0.500  0.750  0.250
O  0.568  0.400  0.469
O  0.069  0.168  0.600
O  0.931  0.531  0.099
Li  0.000  0.500  0.500
O  0.432  0.901  0.832

***

Entry from the Alexandria database: an optimized crystal structure of Na3Li2TeO6 (PBE).

Total magnetic moment, μB/cell: 1.08
N(E_F), states/eV per atom: 0.7090
Raw total energy, eV per cell: -58.896

Unit cell a=5.415 b=5.415 c=5.683 alpha=99.57 beta=99.57 gamma=119.55
Element x y z (fractional)
O  0.633  0.933  0.792
O  0.229  0.229  0.798
O  0.367  0.067  0.208
O  0.067  0.367  0.208
Na  0.822  0.178  0.500
O  0.771  0.771  0.202
Na  0.178  0.822  0.500
Te  0.000  0.000  0.000
O  0.933  0.633  0.792
Li  0.332  0.668  0.000
Na  0.500  0.500  0.500
Li  0.668  0.332  0.000